{"formula": "Ac2Mg17", "functional": "PBE", "state": "relaxed", "cell": [[5.229, 3.019, 5.129], [-5.229, 3.019, 5.129], [0.000, -6.038, 5.129]], "species": ["Ac", "Ac", "Mg", "Mg", "Mg", "Mg", "Mg", "Mg", "Mg", "Mg", "Mg", "Mg", "Mg", "Mg", "Mg", "Mg", "Mg", "Mg", "Mg"], "frac_coords": [[0.165, 0.165, 0.165], [0.835, 0.835, 0.835], [0.000, 0.500, 0.500], [0.150, 0.150, 0.658], [0.150, 0.658, 0.150], [0.204, 0.500, 0.796], [0.204, 0.796, 0.500], [0.342, 0.850, 0.850], [0.402, 0.402, 0.402], [0.500, 0.000, 0.500], [0.500, 0.204, 0.796], [0.500, 0.500, 0.000], [0.500, 0.796, 0.204], [0.598, 0.598, 0.598], [0.658, 0.150, 0.150], [0.796, 0.204, 0.500], [0.796, 0.500, 0.204], [0.850, 0.342, 0.850], [0.850, 0.850, 0.342]], "e_tot_ev_per_atom": -1.944, "delta_e_f_ev_per_atom": -0.085}

***

{"formula": "AcMg11", "functional": "PBE", "state": "relaxed", "cell": [[-6.146, 6.146, 3.995], [6.146, -6.146, 3.995], [6.146, 6.146, -3.995]], "species": ["Ac", "Ac", "Mg", "Mg", "Mg", "Mg", "Mg", "Mg", "Mg", "Mg", "Mg", "Mg", "Mg", "Mg", "Mg", "Mg", "Mg", "Mg", "Mg", "Mg", "Mg", "Mg", "Mg", "Mg"], "frac_coords": [[0.375, 0.625, 0.750], [0.625, 0.375, 0.250], [0.000, 0.000, 0.000], [0.000, 0.000, 0.500], [0.000, 0.500, 0.000], [0.125, 0.875, 0.250], [0.133, 0.555, 0.333], [0.133, 0.800, 0.578], [0.200, 0.278, 0.333], [0.200, 0.867, 0.922], [0.278, 0.200, 0.833], [0.278, 0.445, 0.078], [0.445, 0.278, 0.578], [0.445, 0.867, 0.167], [0.500, 0.000, 0.500], [0.555, 0.133, 0.833], [0.555, 0.722, 0.422], [0.722, 0.555, 0.922], [0.722, 0.800, 0.167], [0.800, 0.133, 0.078], [0.800, 0.722, 0.667], [0.867, 0.200, 0.422], [0.867, 0.445, 0.667], [0.875, 0.125, 0.750]], "e_tot_ev_per_atom": -1.851, "delta_e_f_ev_per_atom": -0.047}

***

{"formula": "Ac3Mg2", "functional": "PBE", "state": "relaxed", "cell": [[4.094, 0.000, 0.000], [0.000, 4.094, 0.000], [0.000, 0.000, 22.136]], "species": ["Ac", "Ac", "Ac", "Ac", "Ac", "Ac", "Mg", "Mg", "Mg", "Mg"], "frac_coords": [[0.000, 0.000, 0.000], [0.000, 0.000, 0.186], [0.000, 0.000, 0.374], [0.000, 0.000, 0.626], [0.000, 0.000, 0.814], [0.500, 0.500, 0.500], [0.500, 0.500, 0.093], [0.500, 0.500, 0.280], [0.500, 0.500, 0.720], [0.500, 0.500, 0.907]], "e_tot_ev_per_atom": -3.167, "delta_e_f_ev_per_atom": -0.064}

***

{"formula": "Ac4Mg", "functional": "PBE", "state": "relaxed", "cell": [[6.215, 0.000, 0.000], [0.000, 6.215, 0.000], [0.000, 0.000, 6.215]], "species": ["Ac", "Ac", "Ac", "Ac", "Mg"], "frac_coords": [[0.000, 0.000, 0.000], [0.000, 0.500, 0.500], [0.500, 0.000, 0.500], [0.500, 0.500, 0.000], [0.500, 0.500, 0.500]], "e_tot_ev_per_atom": -3.184, "relative_energy_ev_per_atom": 0.449, "delta_e_f_ev_per_atom": 0.422}

***

{"formula": "AcMg12", "functional": "PBE", "state": "relaxed", "cell": [[-5.172, 5.172, 3.030], [5.172, -5.172, 3.030], [5.172, 5.172, -3.030]], "species": ["Ac", "Mg", "Mg", "Mg", "Mg", "Mg", "Mg", "Mg", "Mg", "Mg", "Mg", "Mg", "Mg"], "frac_coords": [[0.000, 0.000, 0.000], [0.000, 0.000, 0.500], [0.000, 0.354, 0.354], [0.000, 0.500, 0.000], [0.000, 0.646, 0.646], [0.283, 0.500, 0.783], [0.354, 0.000, 0.354], [0.500, 0.000, 0.000], [0.500, 0.283, 0.783], [0.500, 0.500, 0.500], [0.500, 0.717, 0.217], [0.646, 0.000, 0.646], [0.717, 0.500, 0.217]], "e_tot_ev_per_atom": -1.849, "delta_e_f_ev_per_atom": -0.061}

***

{"formula": "Ac2Mg", "functional": "PBE", "state": "relaxed", "cell": [[4.086, 0.000, 0.000], [0.000, 4.086, 0.000], [0.000, 0.000, 13.892]], "species": ["Ac", "Ac", "Ac", "Ac", "Mg", "Mg"], "frac_coords": [[0.000, 0.000, 0.151], [0.000, 0.000, 0.849], [0.500, 0.500, 0.349], [0.500, 0.500, 0.651], [0.000, 0.000, 0.500], [0.500, 0.500, 0.000]], "e_tot_ev_per_atom": -3.313, "relative_energy_ev_per_atom": 0.010, "delta_e_f_ev_per_atom": -0.043}

***

{"formula": "Ac2Mg", "functional": "PBE", "state": "relaxed", "cell": [[4.080, 0.000, 0.000], [0.000, 4.080, 0.000], [0.000, 0.000, 13.884]], "species": ["Ac", "Ac", "Ac", "Ac", "Mg", "Mg"], "frac_coords": [[0.000, 0.000, 0.000], [0.000, 0.000, 0.299], [0.000, 0.000, 0.701], [0.500, 0.500, 0.500], [0.500, 0.500, 0.149], [0.500, 0.500, 0.851]], "e_tot_ev_per_atom": -3.324, "relative_energy_ev_per_atom": 0.000, "delta_e_f_ev_per_atom": -0.053}

***

{"formula": "AcMg3", "functional": "PBE", "state": "relaxed", "cell": [[5.460, -3.139, 0.000], [5.460, 3.139, 0.000], [-3.639, 0.000, 10.163]], "species": ["Ac", "Ac", "Ac", "Mg", "Mg", "Mg", "Mg", "Mg", "Mg", "Mg", "Mg", "Mg"], "frac_coords": [[0.000, 0.000, 0.000], [0.144, 0.144, 0.431], [0.856, 0.856, 0.569], [0.080, 0.583, 0.245], [0.334, 0.334, 0.002], [0.417, 0.417, 0.755], [0.417, 0.920, 0.755], [0.500, 0.500, 0.500], [0.583, 0.080, 0.245], [0.583, 0.583, 0.245], [0.666, 0.666, 0.998], [0.920, 0.417, 0.755]], "e_tot_ev_per_atom": -2.317, "delta_e_f_ev_per_atom": -0.094}

***

{"formula": "AcMg3", "functional": "PBE", "state": "relaxed", "cell": [[6.317, 0.000, 0.000], [-3.159, 5.471, 0.000], [0.000, 0.000, 20.110]], "species": ["Ac", "Ac", "Ac", "Ac", "Ac", "Ac", "Mg", "Mg", "Mg", "Mg", "Mg", "Mg", "Mg", "Mg", "Mg", "Mg", "Mg", "Mg", "Mg", "Mg", "Mg", "Mg", "Mg", "Mg"], "frac_coords": [[0.333, 0.667, 0.032], [0.333, 0.667, 0.250], [0.333, 0.667, 0.468], [0.667, 0.333, 0.532], [0.667, 0.333, 0.750], [0.667, 0.333, 0.968], [0.000, 0.000, 0.000], [0.000, 0.000, 0.250], [0.000, 0.000, 0.500], [0.000, 0.000, 0.750], [0.167, 0.334, 0.627], [0.167, 0.334, 0.873], [0.167, 0.833, 0.627], [0.167, 0.833, 0.873], [0.333, 0.667, 0.750], [0.334, 0.167, 0.127], [0.334, 0.167, 0.373], [0.666, 0.833, 0.627], [0.666, 0.833, 0.873], [0.667, 0.333, 0.250], [0.833, 0.167, 0.127], [0.833, 0.167, 0.373], [0.833, 0.666, 0.127], [0.833, 0.666, 0.373]], "e_tot_ev_per_atom": -2.317, "delta_e_f_ev_per_atom": -0.094}

***

{"formula": "Ac5Mg", "functional": "PBE", "state": "relaxed", "cell": [[6.263, 0.000, 0.000], [0.000, 19.482, 0.000], [0.000, 0.000, 4.148]], "species": ["Ac", "Ac", "Ac", "Ac", "Ac", "Ac", "Ac", "Ac", "Ac", "Ac", "Mg", "Mg"], "frac_coords": [[0.000, 0.000, 0.000], [0.000, 0.182, 0.500], [0.000, 0.357, 0.000], [0.000, 0.643, 0.000], [0.000, 0.818, 0.500], [0.500, 0.143, 0.000], [0.500, 0.318, 0.500], [0.500, 0.500, 0.000], [0.500, 0.682, 0.500], [0.500, 0.857, 0.000], [0.000, 0.500, 0.500], [0.500, 0.000, 0.500]], "e_tot_ev_per_atom": -3.679, "relative_energy_ev_per_atom": 0.030, "delta_e_f_ev_per_atom": 0.010}

***

{"formula": "Ac4Mg", "functional": "PBE", "state": "relaxed", "cell": [[3.821, -9.845, 0.000], [3.821, 9.845, 0.000], [-3.583, 0.000, 5.645]], "species": ["Ac", "Ac", "Ac", "Ac", "Ac", "Ac", "Ac", "Ac", "Mg", "Mg"], "frac_coords": [[0.044, 0.464, 0.753], [0.107, 0.268, 0.131], [0.268, 0.107, 0.631], [0.464, 0.044, 0.253], [0.536, 0.956, 0.747], [0.732, 0.893, 0.369], [0.893, 0.732, 0.869], [0.956, 0.536, 0.247], [0.440, 0.560, 0.750], [0.560, 0.440, 0.250]], "e_tot_ev_per_atom": -3.471, "relative_energy_ev_per_atom": 0.162, "delta_e_f_ev_per_atom": 0.135}

***

{"formula": "AcMg2MnN4", "functional": "PBE", "state": "relaxed", "cell": [[7.203, 0.000, 0.000], [0.000, 5.787, 0.000], [0.000, 0.000, 5.556]], "species": ["Ac", "Ac", "Mg", "Mg", "Mg", "Mg", "Mn", "Mn", "N", "N", "N", "N", "N", "N", "N", "N"], "frac_coords": [[0.000, 0.143, 0.000], [0.500, 0.857, 0.500], [0.242, 0.345, 0.509], [0.258, 0.655, 0.009], [0.742, 0.655, 0.009], [0.758, 0.345, 0.509], [0.000, 0.803, 0.515], [0.500, 0.197, 0.015], [0.000, 0.120, 0.483], [0.000, 0.742, 0.833], [0.199, 0.678, 0.377], [0.301, 0.322, 0.877], [0.500, 0.258, 0.333], [0.500, 0.880, 0.983], [0.699, 0.322, 0.877], [0.801, 0.678, 0.377]], "e_tot_ev_per_atom": -6.920, "raw_formation_energy_ev_per_atom": -0.6993}